Computed, not measured: a relaxed CuPbF4 crystal at the PBE level of DFT.

Results
- E above lowest polymorph: 81 meV per atom
- Crystal system: tetragonal
- Formation energy without anion corrections: -1881.4 meV per atom

a b c (Å): 7.5867 7.5867 7.2891
angles (deg): 90.00 90.00 90.00
Last column: nearest neighbours and their distance in Å.
Space group I4_1/amd (No. 141, origin choice 2)
One atom of each set of equivalent atoms:
Cu (0.0000, 0.2500, 0.3750) x4  4 F 1.94
Pb (0.0000, 0.2500, 0.8750) x4  8 F 2.49-2.62
F (0.0000, 0.0730, 0.1837) x16  1 Cu 1.94